Entry from the Alexandria database: Cd2Bi2S after structural relaxation (PBE-GGA).

density of states at the Fermi level = 3.74 states/eV per cell
total moment = 0.0 μB per cell
crystal system = tetragonal
energy relative to the elements, uncorrected = 0.09 eV/atom
space-group type = P4/mbm (127)

Unit cell a=7.884 b=7.884 c=4.599 alpha=90.00 beta=90.00 gamma=90.00
Atoms (fractional coordinates):
1 S 0.000 0.000 0.000
2 S 0.500 0.500 0.000
3 Bi 0.308 0.808 0.000
4 Bi 0.808 0.692 0.000
5 Bi 0.692 0.192 0.000
6 Bi 0.192 0.308 0.000
7 Cd 0.131 0.631 0.500
8 Cd 0.631 0.869 0.500
9 Cd 0.869 0.369 0.500
10 Cd 0.369 0.131 0.500